# 1
A plane-wave DFT calculation with PBE-GGA was carried out for a relaxed structure of HoPuAgGe.

The total magnetization is 24.90 Bohr magnetons per cell. For the formation energy, the calculation gives -0.3462 eV/atom. Its crystal system is cubic. The calculated total energy comes out at -6.94 eV per atom.

The structure belongs to space group F-43m (No. 216); the cell edges are 7.209, 7.209 and 7.209 Å and the angles 90.00°, 90.00° and 90.00°. The inequivalent atoms are Ho at (0.000, 0.000, 0.000), Pu at (0.000, 0.000, 0.500), Ag at (0.250, 0.250, 0.750) and Ge at (0.250, 0.250, 0.250).



# 2
A plane-wave DFT calculation with PBE-GGA was carried out for a relaxed structure of Sr3Zn9Cd2.

The total magnetization is 0.00 Bohr magnetons per cell. For the formation energy, the calculation gives -0.2174 eV/atom. Its crystal system is orthorhombic. The calculated total energy comes out at -1.53 eV per atom.

The structure belongs to space group Immm (No. 71); the cell edges are 4.615, 9.306 and 14.055 Å and the angles 90.00°, 90.00° and 90.00°. The inequivalent atoms are Sr at (0.000, 0.000, 0.000), Sr at (0.000, 0.000, 0.296), Zn at (0.000, 0.285, 0.138), Zn at (0.000, 0.357, 0.333), Zn at (0.000, 0.500, 0.000) and Cd at (0.000, 0.193, 0.500).



# 3
A plane-wave DFT calculation with PBE-GGA was carried out for a relaxed structure of BeTlSe.

Its energy relative to the lowest polymorph listed for this composition is 0.3152 eV/atom. The total magnetization is 0.00 Bohr magnetons per cell. Its crystal system is orthorhombic. The uncorrected formation energy is -0.07 eV per formula unit. The calculated total energy comes out at -3.21 eV per atom.

The structure belongs to space group Fmm2 (No. 42); the cell edges are 3.702, 6.718 and 12.612 Å and the angles 90.00°, 90.00° and 90.00°. The inequivalent atoms are Be at (0.000, 0.000, 0.000), Tl at (0.000, 0.000, 0.321) and Se at (0.000, 0.000, 0.576).



# 4
A plane-wave DFT calculation with PBE-GGA was carried out for a relaxed structure of YAs2Ir.

Its energy relative to the lowest polymorph listed for this composition is 0.4291 eV/atom. The total magnetization is 0.00 Bohr magnetons per cell. For the formation energy, the calculation gives -0.3648 eV/atom. Its crystal system is tetragonal. The calculated total energy comes out at -6.52 eV per atom.

The structure belongs to space group P4mm (No. 99); the cell edges are 3.161, 3.161 and 8.490 Å and the angles 90.00°, 90.00° and 90.00°. The inequivalent atoms are Y at (0.000, 0.000, 0.000), As at (0.000, 0.000, 0.594), As at (0.500, 0.500, 0.237) and Ir at (0.500, 0.500, 0.746).